# PBE Tb4Ge2H, optimized geometry
# Calculated density ... 8.24 g cm⁻³
# Total DFT energy (no corrections) ... -5.08 eV/atom
# M_tot ... 0.000 μB per atom
# Polymorph energy (0 for the lowest one) ... 16 kJ/mol of formula units
# Fermi-level density of states ... 0.8894 states/eV per atom
data_Tb4Ge2H
_chemical_formula_sum 'Tb8 Ge4 H2'
_symmetry_space_group_name_H-M 'I 4/m m m'
_symmetry_Int_Tables_number 139
_symmetry_space_group_name_Hall '-I 4 2'
_cell_length_a 4.432
_cell_length_b 4.432
_cell_length_c 16.042
_cell_angle_alpha 90.00
_cell_angle_beta 90.00
_cell_angle_gamma 90.00
loop_
_atom_site_label
_atom_site_fract_x
_atom_site_fract_y
_atom_site_fract_z
Tb1 0.000 0.000 0.181
Tb2 0.000 0.500 0.000
Ge1 0.000 0.000 0.365
H1 0.000 0.000 0.000